1.
VN | GGA-PBE | optimized geometry

a b c (Å): 3.1365 3.1558 3.1365
angles (deg): 120.09 90.04 120.09
With the nearest neighbours (Å) after each atom.
Sites, in units of the cell vectors:
N (0.8120, 0.7230, 0.3842)  4 V 1.92
V (0.5652, 0.2230, 0.6310)  4 N 1.92

Output
Crystal system   monoclinic
Raw formation energy   -0.843 eV per atom
SG   No. 5
Density of states at the Fermi level   1.93 states/eV/f.u.

2.
CaPaIr2O8 | GGA-PBE | optimized geometry

a b c (Å): 5.7116 5.7116 6.6377
angles (deg): 90.00 90.00 120.00
With the nearest neighbours (Å) after each atom.
Sites, in units of the cell vectors:
Ca (0.0000, 0.0000, 0.5000)  12 O 3.12-3.48, 2 Pa 3.32
Pa (0.0000, 0.0000, 0.0000)  6 O 2.19
Ir (0.6667, 0.3333, 0.0583)  4 O 1.83-2.03
Ir (0.3333, 0.6667, 0.9417)  4 O 1.83-2.03
O (0.9231, 0.6196, 0.8614)  1 Ir 2.03, 1 Pa 2.19
O (0.3804, 0.3035, 0.8614)  1 Ir 2.03, 1 Pa 2.19
O (0.6965, 0.0769, 0.8614)  1 Ir 2.03, 1 Pa 2.19
O (0.0769, 0.3804, 0.1386)  1 Ir 2.03, 1 Pa 2.19
O (0.6196, 0.6965, 0.1386)  1 Ir 2.03, 1 Pa 2.19
O (0.3035, 0.9231, 0.1386)  1 Ir 2.03, 1 Pa 2.19
O (0.6667, 0.3333, 0.3343)  1 Ir 1.83
O (0.3333, 0.6667, 0.6657)  1 Ir 1.83

Output
Crystal system   trigonal
Raw formation energy   -1.190 eV per atom
SG   No. 147
Density of states at the Fermi level   4.11 states/eV/f.u.

3.
SmDyPd2 | GGA-PBE | optimized geometry

a b c (Å): 3.4629 5.0703 5.0703
angles (deg): 90.00 90.00 90.00
With the nearest neighbours (Å) after each atom.
Sites, in units of the cell vectors:
Pd (0.0000, 0.0000, 0.5000)  4 Dy 3.07, 4 Sm 3.07
Pd (0.0000, 0.5000, 0.0000)  4 Sm 3.07, 4 Dy 3.07
Sm (0.5000, 0.0000, 0.0000)  8 Pd 3.07
Dy (0.5000, 0.5000, 0.5000)  8 Pd 3.07

Output
Crystal system   tetragonal
Excess energy over the best structure of this formula in the dataset   0.19 eV/f.u.
Calculated formation energy   -0.8341 eV/atom
SG   No. 123
Density of states at the Fermi level   2.17 states/eV/f.u.

4.
Y2SbHPd | GGA-PBE | optimized geometry

a b c (Å): 4.9840 4.9840 3.9521
angles (deg): 90.00 90.00 90.00
With the nearest neighbours (Å) after each atom.
Sites, in units of the cell vectors:
Y (0.0000, 0.5000, 0.0000)  2 H 2.49
Y (0.5000, 0.0000, 0.0000)  2 H 2.49
Sb (0.5000, 0.5000, 0.5000)  8 Y 3.18, 4 Pd 3.52
Pd (0.0000, 0.0000, 0.5000)  2 H 1.98
H (0.0000, 0.0000, 0.0000)  2 Pd 1.98

Output
Crystal system   tetragonal
SG   No. 123
Density of states at the Fermi level   3.72 states/eV/f.u.
Energy   -29.302 eV per formula unit

5.
AsPb2Au2 | GGA-PBE | optimized geometry

a b c (Å): 4.5800 5.9742 5.9758
angles (deg): 56.81 67.47 67.46
With the nearest neighbours (Å) after each atom.
Sites, in units of the cell vectors:
As (0.5000, 0.5000, 0.0000)  4 Au 2.73
Pb (0.6943, 0.8056, 0.3058)  6 Au 3.24-3.25, 2 As 3.39
Pb (0.3057, 0.1944, 0.6942)  6 Au 3.24-3.25, 2 As 3.39
Au (0.0003, 0.2395, 0.2599)  2 As 2.73, 2 Au 2.73-2.96
Au (0.9997, 0.7605, 0.7401)  2 As 2.73, 2 Au 2.73-2.96

Output
Crystal system   orthorhombic
Excess energy over the best structure of this formula in the dataset   0.00 eV/f.u.
Calculated formation energy   -0.0184 eV/atom
SG   No. 71
Density of states at the Fermi level   1.89 states/eV/f.u.

6.
NaHf2Zr | GGA-PBE | optimized geometry

a b c (Å): 5.0508 5.0508 5.0508
angles (deg): 60.00 60.00 60.00
With the nearest neighbours (Å) after each atom.
Sites, in units of the cell vectors:
Na (0.0000, 0.0000, 0.0000)  8 Hf 3.09
Hf (0.2500, 0.2500, 0.2500)  4 Zr 3.09, 4 Na 3.09
Hf (0.7500, 0.7500, 0.7500)  4 Na 3.09, 4 Zr 3.09
Zr (0.5000, 0.5000, 0.5000)  8 Hf 3.09

Output
Crystal system   cubic
Excess energy over the best structure of this formula in the dataset   0.00 eV/f.u.
Calculated formation energy   0.6380 eV/atom
SG   No. 225
Density of states at the Fermi level   7.24 states/eV/f.u.

7.
LaAlCd | GGA-PBE | optimized geometry

a b c (Å): 6.0773 6.1242 4.5026
angles (deg): 111.61 90.00 90.00
With the nearest neighbours (Å) after each atom.
Sites, in units of the cell vectors:
La (0.6005, 0.7921, 0.6504)  5 Cd 3.26-3.30, 4 Al 3.51-3.52
La (0.1005, 0.5759, 0.0413)  5 Cd 3.26-3.30, 4 Al 3.51-3.52
Al (0.3505, 0.1840, 0.3459)  4 Cd 2.91, 2 Al 3.04
Al (0.8505, 0.1840, 0.3458)  4 Cd 2.91, 2 Al 3.04
Cd (0.1005, 0.9993, 0.7531)  4 Al 2.91, 2 La 3.26
Cd (0.6005, 0.3687, 0.9385)  4 Al 2.91, 2 La 3.26

Output
Crystal system   monoclinic
Calculated formation energy   -0.3031 eV/atom
SG   No. 11
Density of states at the Fermi level   2.28 states/eV/f.u.

8.
DyGa2Pd7 | GGA-PBE | optimized geometry

a b c (Å): 4.1253 4.1253 10.4570
angles (deg): 101.38 101.38 90.00
With the nearest neighbours (Å) after each atom.
Sites, in units of the cell vectors:
Dy (0.0000, 0.0000, 0.0000)  12 Pd 2.91-2.92
Ga (0.6757, 0.6757, 0.3514)  8 Pd 2.53-2.55
Ga (0.3243, 0.3243, 0.6486)  8 Pd 2.53-2.55
Pd (0.1024, 0.6024, 0.2049)  2 Ga 2.53
Pd (0.3976, 0.8976, 0.7951)  2 Ga 2.53
Pd (0.6024, 0.1024, 0.2049)  2 Ga 2.53
Pd (0.5000, 0.5000, 0.0000)  8 Pd 2.91, 4 Dy 2.92
Pd (0.7500, 0.2500, 0.5000)  4 Ga 2.55
Pd (0.8976, 0.3976, 0.7951)  2 Ga 2.53
Pd (0.2500, 0.7500, 0.5000)  4 Ga 2.55

Output
Crystal system   tetragonal
Excess energy over the best structure of this formula in the dataset   0.00 eV/f.u.
Calculated formation energy   -0.6687 eV/atom
SG   No. 139
Density of states at the Fermi level   2.40 states/eV/f.u.

9.
Mn2CuSb | GGA-PBE | optimized geometry

a b c (Å): 3.9255 3.0212 5.7002
angles (deg): 73.30 90.00 90.00
With the nearest neighbours (Å) after each atom.
Sites, in units of the cell vectors:
Cu (0.5000, 0.5524, 0.7963)  5 Mn 2.49-2.66, 2 Sb 2.62
Mn (0.0000, 0.9552, 0.9726)  4 Cu 2.65-2.66, 1 Sb 2.77, 4 Mn 2.90-2.91
Mn (0.5000, 0.3066, 0.2520)  1 Cu 2.49, 4 Sb 2.77
Sb (0.0000, 0.6858, 0.4791)  2 Cu 2.62, 5 Mn 2.77

Output
Crystal system   monoclinic
Raw formation energy   0.248 eV per atom
SG   No. 6
Density of states at the Fermi level   2.89 states/eV/f.u.

10.
Tb2Pm3Tm7 | GGA-PBE | optimized geometry

a b c (Å): 3.5450 5.7677 18.6546
angles (deg): 93.15 90.00 90.00
With the nearest neighbours (Å) after each atom.
Sites, in units of the cell vectors:
Tb (0.5000, 0.7109, 0.2915)  3 Tm 3.17-3.29, 2 Tb 3.55
Tb (0.5000, 0.2891, 0.7085)  3 Tm 3.17-3.29, 2 Tb 3.55
Pm (0.5000, 0.5000, 0.0000)  8 Tm 3.33-3.39, 2 Pm 3.55
Pm (0.0000, 0.2240, 0.3675)  2 Pm 3.55, 6 Tm 3.64-3.82, 4 Tb 3.67
Pm (0.0000, 0.7760, 0.6325)  2 Pm 3.55, 6 Tm 3.64-3.82, 4 Tb 3.67
Tm (0.5000, 0.7427, 0.4616)  1 Tb 3.17, 4 Tm 3.21-3.55
Tm (0.5000, 0.2573, 0.5384)  1 Tb 3.17, 4 Tm 3.21-3.55
Tm (0.0000, 0.6909, 0.1427)  7 Tm 3.28-3.55, 2 Tb 3.29, 2 Pm 3.33
Tm (0.0000, 0.0000, 0.0000)  4 Tm 3.28-3.55, 4 Pm 3.39
Tm (0.0000, 0.3091, 0.8573)  7 Tm 3.28-3.55, 2 Tb 3.29, 2 Pm 3.33
Tm (0.5000, 0.8064, 0.8260)  8 Tm 3.42-3.81, 2 Tb 3.60-3.64, 1 Pm 3.78
Tm (0.5000, 0.1936, 0.1740)  8 Tm 3.42-3.81, 2 Tb 3.60-3.64, 1 Pm 3.78

Output
Crystal system   monoclinic
Calculated formation energy   0.0896 eV/atom
SG   No. 10
Density of states at the Fermi level   14.59 states/eV/f.u.

11.
RbCaMo2Ir | GGA-PBE | optimized geometry

a b c (Å): 4.8933 5.9884 4.8933
angles (deg): 90.00 90.00 90.00
With the nearest neighbours (Å) after each atom.
Sites, in units of the cell vectors:
Mo (0.0000, 0.0000, 0.5000)  2 Ir 2.45
Mo (0.5000, 0.0000, 0.0000)  2 Ir 2.45
Ir (0.0000, 0.0000, 0.0000)  4 Mo 2.45
Ca (0.5000, 0.5000, 0.5000)  4 Rb 3.46, 8 Mo 3.87
Rb (0.0000, 0.5000, 0.0000)  2 Ir 2.99

Output
Crystal system   tetragonal
Calculated formation energy   1.3391 eV/atom
SG   No. 123
Density of states at the Fermi level   5.62 states/eV/f.u.

12.
Rb2SiSn | GGA-PBE | optimized geometry

a b c (Å): 6.0350 6.0350 6.0350
angles (deg): 60.00 60.00 60.00
With the nearest neighbours (Å) after each atom.
Sites, in units of the cell vectors:
Si (0.0000, 0.0000, 0.0000)  8 Rb 3.70
Sn (0.5000, 0.5000, 0.5000)  8 Rb 3.70
Rb (0.2500, 0.2500, 0.2500)  4 Sn 3.70, 4 Si 3.70
Rb (0.7500, 0.7500, 0.7500)  4 Si 3.70, 4 Sn 3.70

Output
Crystal system   cubic
Excess energy over the best structure of this formula in the dataset   1.27 eV/f.u.
Raw formation energy   0.505 eV per atom
SG   No. 225
Density of states at the Fermi level   0.00 states/eV/f.u.

13.
CePm2GeN4 | GGA-PBE | optimized geometry

a b c (Å): 3.5940 6.1024 12.0167
angles (deg): 90.00 90.00 107.13
With the nearest neighbours (Å) after each atom.
Sites, in units of the cell vectors:
Ce (0.0983, 0.1965, 0.7500)  6 N 2.73-2.74
Ce (0.9017, 0.8035, 0.2500)  6 N 2.73-2.74
Pm (0.3690, 0.7380, 0.5444)  6 N 2.40-2.67
Pm (0.6310, 0.2620, 0.0444)  6 N 2.40-2.67
Pm (0.6310, 0.2620, 0.4556)  6 N 2.40-2.67
Pm (0.3690, 0.7380, 0.9556)  6 N 2.40-2.67
Ge (0.8343, 0.6685, 0.7500)  4 N 1.89-2.06
Ge (0.1657, 0.3315, 0.2500)  4 N 1.89-2.06
N (0.2735, 0.5470, 0.1322)  1 Ge 1.89
N (0.7265, 0.4530, 0.6322)  1 Ge 1.89
N (0.7265, 0.4530, 0.8678)  1 Ge 1.89
N (0.2735, 0.5470, 0.3678)  1 Ge 1.89
N (0.0000, 0.0000, 0.5000)  4 Pm 2.42
N (0.0000, 0.0000, 0.0000)  4 Pm 2.42
N (0.4209, 0.8418, 0.7500)  2 Ge 2.06
N (0.5791, 0.1582, 0.2500)  2 Ge 2.06

Output
Crystal system   orthorhombic
Raw formation energy   -0.926 eV per atom
SG   No. 63
Density of states at the Fermi level   6.73 states/eV/f.u.

14.
FeCo3B | GGA-PBE | optimized geometry

a b c (Å): 3.7698 3.7698 3.7698
angles (deg): 90.00 90.00 90.00
With the nearest neighbours (Å) after each atom.
Sites, in units of the cell vectors:
B (0.0000, 0.0000, 0.0000)  6 Co 1.88
Co (0.0000, 0.5000, 0.0000)  2 B 1.88
Co (0.0000, 0.0000, 0.5000)  2 B 1.88
Co (0.5000, 0.0000, 0.0000)  2 B 1.88
Fe (0.5000, 0.5000, 0.5000)  12 Co 2.67

Output
Crystal system   cubic
Excess energy over the best structure of this formula in the dataset   0.00 eV/f.u.
Calculated formation energy   0.0624 eV/atom
SG   No. 221
Density of states at the Fermi level   2.45 states/eV/f.u.

15.
PmZr2Al | GGA-PBE | optimized geometry

a b c (Å): 3.1477 3.1477 11.3600
angles (deg): 82.04 82.04 60.00
With the nearest neighbours (Å) after each atom.
Sites, in units of the cell vectors:
Al (0.5000, 0.5000, 0.5000)  6 Zr 3.01, 6 Al 3.15
Zr (0.0953, 0.0953, 0.7141)  3 Al 3.01, 6 Zr 3.15, 1 Pm 3.21
Zr (0.9047, 0.9047, 0.2859)  3 Al 3.01, 6 Zr 3.15, 1 Pm 3.21
Pm (0.0000, 0.0000, 0.0000)  6 Pm 3.15, 2 Zr 3.21

Output
Crystal system   trigonal
Excess energy over the best structure of this formula in the dataset   1.26 eV/f.u.
Calculated formation energy   0.1773 eV/atom
SG   No. 166
Density of states at the Fermi level   6.62 states/eV/f.u.

16.
MnZn3In | GGA-PBE | optimized geometry

a b c (Å): 4.8000 4.8000 4.8000
angles (deg): 90.00 90.00 90.00
With the nearest neighbours (Å) after each atom.
Sites, in units of the cell vectors:
Zn (0.0000, 0.5000, 0.0000)  2 Mn 2.40
Zn (0.0000, 0.0000, 0.5000)  2 Mn 2.40
Zn (0.5000, 0.0000, 0.0000)  2 Mn 2.40
Mn (0.0000, 0.0000, 0.0000)  6 Zn 2.40
In (0.5000, 0.5000, 0.5000)  12 Zn 3.39

Output
Crystal system   cubic
Excess energy over the best structure of this formula in the dataset   0.00 eV/f.u.
Calculated formation energy   0.5143 eV/atom
SG   No. 221
Density of states at the Fermi level   3.08 states/eV/f.u.

17.
KCa4F8 | GGA-PBE | optimized geometry

a b c (Å): 7.2754 7.2754 7.2754
angles (deg): 60.00 60.00 60.00
With the nearest neighbours (Å) after each atom.
Sites, in units of the cell vectors:
K (0.7500, 0.7500, 0.7500)  4 F 2.68
Ca (0.8792, 0.3736, 0.3736)  6 F 2.31-2.36
Ca (0.3736, 0.8792, 0.3736)  6 F 2.31-2.36
Ca (0.3736, 0.3736, 0.8792)  6 F 2.31-2.36
Ca (0.3736, 0.3736, 0.3736)  6 F 2.31-2.36
F (0.5429, 0.1524, 0.1524)  3 Ca 2.31
F (0.1524, 0.5429, 0.1524)  3 Ca 2.31
F (0.1524, 0.1524, 0.5429)  3 Ca 2.31
F (0.1524, 0.1524, 0.1524)  3 Ca 2.31
F (0.2015, 0.5995, 0.5995)  3 Ca 2.36
F (0.5995, 0.2015, 0.5995)  3 Ca 2.36
F (0.5995, 0.5995, 0.2015)  3 Ca 2.36
F (0.5995, 0.5995, 0.5995)  3 Ca 2.36

Output
Crystal system   cubic
Raw formation energy   -3.468 eV per atom
SG   No. 216
Density of states at the Fermi level   2.38 states/eV/f.u.

18.
NpTiW | GGA-PBE | optimized geometry

a b c (Å): 2.7015 7.7127 4.9869
angles (deg): 90.00 90.00 90.00
With the nearest neighbours (Å) after each atom.
Sites, in units of the cell vectors:
W (0.5000, 0.1532, 0.2500)  2 W 2.70, 6 Ti 2.74-2.84
W (0.5000, 0.8468, 0.7500)  2 W 2.70, 6 Ti 2.74-2.84
Ti (0.0000, 0.1552, 0.7500)  2 Ti 2.70, 6 W 2.74-2.84, 2 Np 2.94
Ti (0.0000, 0.8448, 0.2500)  2 Ti 2.70, 6 W 2.74-2.84, 2 Np 2.94
Np (0.0000, 0.5000, 0.5000)  4 Np 2.49-2.70
Np (0.0000, 0.5000, 0.0000)  4 Np 2.49-2.70

Output
Crystal system   orthorhombic
Calculated formation energy   0.4096 eV/atom
SG   No. 51
Density of states at the Fermi level   5.82 states/eV/f.u.

19.
Sm3YHo6Er2 | GGA-PBE | optimized geometry

a b c (Å): 6.1518 6.1518 11.7566
angles (deg): 94.99 94.99 119.96
With the nearest neighbours (Å) after each atom.
Sites, in units of the cell vectors:
Sm (0.1667, 0.8333, 0.5000)  6 Sm 3.55, 6 Ho 3.57
Sm (0.8333, 0.1667, 0.5000)  6 Sm 3.55, 6 Ho 3.57
Sm (0.5000, 0.5000, 0.5000)  6 Sm 3.55, 6 Ho 3.57
Y (0.0000, 0.0000, 0.0000)  6 Ho 3.52-3.53, 6 Er 3.55
Ho (0.9173, 0.5831, 0.7527)  2 Er 3.52, 1 Y 3.53, 6 Ho 3.55-3.56, 3 Sm 3.57
Ho (0.7485, 0.7485, 0.2473)  2 Er 3.52, 1 Y 3.52, 6 Ho 3.55-3.56, 3 Sm 3.57
Ho (0.0827, 0.4169, 0.2473)  2 Er 3.52, 1 Y 3.53, 6 Ho 3.55-3.56, 3 Sm 3.57
Ho (0.5831, 0.9173, 0.7527)  2 Er 3.52, 1 Y 3.53, 6 Ho 3.55-3.56, 3 Sm 3.57
Ho (0.2515, 0.2515, 0.7527)  2 Er 3.52, 1 Y 3.52, 6 Ho 3.55-3.56, 3 Sm 3.57
Ho (0.4169, 0.0827, 0.2473)  2 Er 3.52, 1 Y 3.53, 6 Ho 3.55-3.56, 3 Sm 3.57
Er (0.3333, 0.6667, 0.0000)  6 Ho 3.52, 3 Y 3.55, 3 Er 3.55
Er (0.6667, 0.3333, 0.0000)  6 Ho 3.52, 3 Y 3.55, 3 Er 3.55

Output
Crystal system   monoclinic
Calculated formation energy   0.0196 eV/atom
SG   No. 12
Density of states at the Fermi level   16.23 states/eV/f.u.